Record 1
Entry from Alexandria: LiPdSe2 after structural relaxation (PBE-GGA).

Structure (POSCAR):
```
LiPdSe2
1.0
1.573 0.908 8.555
-1.573 0.908 8.555
0.000 -1.816 8.555
Li Pd Se
1 1 2
direct
0.000 0.000 0.000 Li
0.500 0.500 0.500 Pd
0.406 0.406 0.406 Se
0.594 0.594 0.594 Se
```

Results
Raw formation energy ... -0.242 eV/atom
Raw total energy ... -3.76 eV/atom
Density of states at the Fermi level ... 3.01 states/eV/f.u.

Record 2
Entry from Alexandria: KCrSe2 after structural relaxation (PBE-GGA).

Structure (POSCAR):
```
KCrSe2
1.0
3.074 -6.355 0.000
3.074 6.355 0.000
0.000 0.000 5.687
K Cr Se
2 2 4
direct
0.000 0.500 0.000 K
0.500 0.000 0.500 K
0.000 0.000 0.250 Cr
0.000 0.000 0.750 Cr
0.125 0.321 0.500 Se
0.321 0.125 0.000 Se
0.679 0.875 0.000 Se
0.875 0.679 0.500 Se
```

Results
Raw formation energy ... -0.690 eV/atom
Raw total energy ... -5.11 eV/atom
Density of states at the Fermi level ... 3.78 states/eV/f.u.

Record 3
Entry from Alexandria: Tb7Al2Ag2 after structural relaxation (PBE-GGA).

Structure (POSCAR):
```
Tb7Al2Ag2
1.0
3.920 -5.481 0.000
3.920 5.481 0.000
0.000 0.000 7.409
Tb Al Ag
7 2 2
direct
0.000 0.000 0.000 Tb
0.000 0.500 0.281 Tb
0.000 0.500 0.719 Tb
0.500 0.000 0.281 Tb
0.500 0.000 0.719 Tb
0.500 0.500 0.268 Tb
0.500 0.500 0.732 Tb
0.167 0.167 0.500 Al
0.833 0.833 0.500 Al
0.292 0.708 0.000 Ag
0.708 0.292 0.000 Ag
```

Results
DFT formation energy ... 0.024 eV per atom
Raw total energy ... -4.12 eV/atom
Density of states at the Fermi level ... 13.01 states/eV/f.u.

Record 4
Entry from Alexandria: YCuW after structural relaxation (PBE-GGA).

Structure (POSCAR):
```
YCuW
1.0
-1.481 1.481 6.247
1.481 -1.481 6.247
1.481 1.481 -6.247
Y Cu W
1 1 1
direct
0.000 0.000 0.000 Y
0.322 0.322 0.000 Cu
0.689 0.689 0.000 W
```

Results
DFT formation energy ... 0.405 eV per atom
Raw total energy ... -7.43 eV/atom
Density of states at the Fermi level ... 1.90 states/eV/f.u.

Record 5
Entry from Alexandria: LiPS2 after structural relaxation (PBE-GGA).

Structure (POSCAR):
```
LiPS2
1.0
3.480 0.000 0.000
0.000 3.822 0.000
-0.004 -0.491 5.469
Li P S
1 1 2
direct
0.000 0.000 0.000 Li
0.502 0.568 0.431 P
0.002 0.948 0.516 S
0.501 0.499 0.053 S
```

Results
Raw formation energy ... -0.580 eV/atom
Raw total energy ... -4.47 eV/atom

Record 6
Entry from Alexandria: AlInPd2 after structural relaxation (PBE-GGA).

Structure (POSCAR):
```
AlInPd2
1.0
3.099 0.000 0.000
0.000 3.099 0.000
0.000 0.000 6.776
Al In Pd
1 1 2
direct
0.000 0.000 0.000 Al
0.000 0.000 0.500 In
0.500 0.500 0.217 Pd
0.500 0.500 0.783 Pd
```

Results
DFT formation energy ... -0.687 eV per atom
Raw total energy ... -4.90 eV/atom
Density of states at the Fermi level ... 1.47 states/eV/f.u.

Record 7
Entry from Alexandria: La2TaIn after structural relaxation (PBE-GGA).

Structure (POSCAR):
```
La2TaIn
1.0
-2.389 2.389 4.787
2.389 -2.389 4.787
2.389 2.389 -4.787
La Ta In
2 1 1
direct
0.250 0.750 0.500 La
0.750 0.250 0.500 La
0.000 0.000 0.000 Ta
0.500 0.500 0.000 In
```

Results
DFT formation energy ... 0.246 eV per atom
Raw total energy ... -5.87 eV/atom
Density of states at the Fermi level ... 5.12 states/eV/f.u.

Record 8
Entry from Alexandria: KBaMo2I after structural relaxation (PBE-GGA).

Structure (POSCAR):
```
KBaMo2I
1.0
4.873 0.000 0.000
0.000 4.873 0.000
0.000 0.000 6.465
K Ba Mo I
1 1 2 1
direct
0.000 0.000 0.000 K
0.000 0.000 0.500 Ba
0.000 0.500 0.000 Mo
0.500 0.000 0.000 Mo
0.500 0.500 0.500 I
```

Results
Raw formation energy ... 2.302 eV/atom
Raw total energy ... -2.94 eV/atom
Density of states at the Fermi level ... 9.41 states/eV/f.u.